Entry 1:
An optimized crystal structure of Dy5Er2Sc2. Source: Alexandria, functional PBE.

Results
V in Å³/f.u.: 270.7
Total DFT energy (no corrections) in eV per atom: -4.87
Size of the total moment in μB/f.u.: 0.00
Excess energy over the best structure of this formula in the dataset in eV per formula unit: 0.00
Formation enthalpy at 0 K in meV/atom: 107
Space-group type: C2/m

Unit cell a=3.432 b=8.969 c=11.110 alpha=53.85 beta=81.11 gamma=78.97
Atoms (fractional coordinates):
Sc 0.511 0.654 0.323
Dy 0.340 0.099 0.220
Dy 0.660 0.901 0.780
Dy 0.000 0.000 0.000
Er 0.855 0.758 0.533
Dy 0.168 0.565 0.098
Er 0.145 0.242 0.467
Dy 0.832 0.435 0.902
Sc 0.489 0.346 0.677

=====

Entry 2:
An optimized crystal structure of DyEr4Sc2. Source: Alexandria, functional PBE.

Results
V in Å³/f.u.: 201.8
Total DFT energy (no corrections) in eV per atom: -5.05
Size of the total moment in μB/f.u.: 0.00
Excess energy over the best structure of this formula in the dataset in eV per formula unit: 0.03
Formation enthalpy at 0 K in meV/atom: 22
Space-group type: R-3m

Unit cell a=3.469 b=3.469 c=19.465 alpha=84.89 beta=84.89 gamma=60.00
Atoms (fractional coordinates):
Dy 0.000 0.000 0.000
Sc 0.812 0.812 0.565
Er 0.383 0.383 0.852
Er 0.099 0.099 0.704
Er 0.617 0.617 0.148
Sc 0.188 0.188 0.435
Er 0.901 0.901 0.296

=====

Entry 3:
An optimized crystal structure of Dy6Er2Sc. Source: Alexandria, functional PBE.

Results
V in Å³/f.u.: 280.7
Total DFT energy (no corrections) in eV per atom: -4.62
Size of the total moment in μB/f.u.: 0.00
Excess energy over the best structure of this formula in the dataset in eV per formula unit: 1.19
Formation enthalpy at 0 K in meV/atom: 162
Space-group type: C2/c

Unit cell a=7.053 b=9.434 c=9.434 alpha=80.70 beta=71.21 gamma=71.21
Atoms (fractional coordinates):
Dy 0.272 0.444 0.007
Dy 0.785 0.174 0.036
Er 0.895 0.337 0.306
Dy 0.481 0.648 0.363
Dy 0.519 0.352 0.637
Dy 0.019 0.637 0.352
Er 0.105 0.663 0.694
Sc 0.250 0.160 0.840
Er 0.605 0.694 0.663
Dy 0.228 0.993 0.556
Dy 0.285 0.036 0.174
Dy 0.772 0.007 0.444
Sc 0.750 0.840 0.160
Dy 0.715 0.964 0.826
Dy 0.728 0.556 0.993
Dy 0.981 0.363 0.648
Er 0.395 0.306 0.337
Dy 0.215 0.826 0.964

=====

Entry 4:
An optimized crystal structure of Dy2Er3Sc. Source: Alexandria, functional PBE.

Results
V in Å³/f.u.: 182.6
Total DFT energy (no corrections) in eV per atom: -4.73
Size of the total moment in μB/f.u.: 0.00
Excess energy over the best structure of this formula in the dataset in eV per formula unit: 0.65
Formation enthalpy at 0 K in meV/atom: 145
Space-group type: C2/m

Unit cell a=3.416 b=8.847 c=12.640 alpha=78.31 beta=82.23 gamma=78.87
Atoms (fractional coordinates):
Er 0.038 0.140 0.784
Dy 0.344 0.842 0.469
Sc 0.563 0.516 0.359
Er 0.259 0.189 0.293
Er 0.401 0.172 0.026
Sc 0.437 0.484 0.641
Er 0.741 0.811 0.707
Dy 0.656 0.158 0.531
Er 0.962 0.860 0.216
Er 0.599 0.828 0.974
Dy 0.179 0.521 0.121
Dy 0.821 0.479 0.879